Computed, not measured: a geometry-optimized Ac2PmPb3 structure at the GGA-PBE level of DFT.

Properties
Its symmetry is C2/m (12). The value obtained for the formation energy from the elements is -0.47 eV/atom. Its raw total energy is -0.165 Ha/atom.

Lattice parameters (Å, degrees): 6.063 9.609 7.364 90.00 89.99 71.61
Site moments in Bohr magnetons follow the coordinates.
Atoms (fractional coordinates):
Ac  0.000  0.000  0.000  -0.01
Ac  0.000  0.000  0.500  -0.01
Ac  0.335  0.330  0.500  0.08
Ac  0.665  0.670  0.500  0.08
Pm  0.334  0.333  0.000  0.15
Pm  0.666  0.667  0.000  0.15
Pb  0.829  0.341  0.772  0.00
Pb  0.499  0.000  0.235  0.00
Pb  0.171  0.659  0.228  0.00
Pb  0.829  0.341  0.228  0.00
Pb  0.171  0.659  0.772  0.00
Pb  0.501  0.000  0.765  0.00